Material: CsZr2Bi2
Method: DFT, PBE
State: relaxed

Calculated values
For the formation energy, the calculation gives 7 kJ/mol of atoms. As for the volume: 311.3 Å³ per cell. The value obtained for the distance to the lowest polymorph of the same formula is 1.43 eV per formula unit. The calculation puts the size of the total moment at 0.00 μB/f.u.

Geometry as CIF:
```
data_CsZr2Bi2
_chemical_formula_sum 'Cs2 Zr4 Bi4'
_cell_length_a 9.625
_cell_length_b 9.625
_cell_length_c 3.360
_cell_angle_alpha 90.00
_cell_angle_beta 90.00
_cell_angle_gamma 90.00
_symmetry_space_group_name_H-M 'P 4/m b m'
_symmetry_Int_Tables_number 127
_symmetry_space_group_name_Hall '-P 4 2ab'
loop_
_atom_site_label
_atom_site_type_symbol
_atom_site_fract_x
_atom_site_fract_y
_atom_site_fract_z
Cs1 Cs 0.000 0.000 0.000
Zr1 Zr 0.113 0.387 0.500
Bi1 Bi 0.162 0.662 0.000
```

---

Material: CsZr2Bi
Method: DFT, PBE
State: relaxed

Calculated values
For the formation energy, the calculation gives 92 kJ/mol of atoms. As for the volume: 534.5 Å³ per cell. The calculation puts the size of the total moment at 0.00 μB/f.u.

Geometry as CIF:
```
data_CsZr2Bi
_chemical_formula_sum 'Cs4 Zr8 Bi4'
_cell_length_a 8.867
_cell_length_b 8.867
_cell_length_c 6.797
_cell_angle_alpha 90.00
_cell_angle_beta 90.00
_cell_angle_gamma 90.00
_symmetry_space_group_name_H-M 'I -4 2 d'
_symmetry_Int_Tables_number 122
_symmetry_space_group_name_Hall 'I -4 2bw'
loop_
_atom_site_label
_atom_site_type_symbol
_atom_site_fract_x
_atom_site_fract_y
_atom_site_fract_z
Cs1 Cs 0.000 0.000 0.000
Zr1 Zr 0.200 0.250 0.625
Bi1 Bi 0.000 0.000 0.500
```

---

Material: CsZrBi2
Method: DFT, PBE
State: relaxed

Calculated values
For the formation energy, the calculation gives -26 kJ/mol of atoms. As for the volume: 130.5 Å³ per cell. The value obtained for the distance to the lowest polymorph of the same formula is 0.00 eV per formula unit. The calculation puts the size of the total moment at 0.00 μB/f.u.

Geometry as CIF:
```
data_CsZrBi2
_chemical_formula_sum 'Cs1 Zr1 Bi2'
_cell_length_a 3.603
_cell_length_b 3.603
_cell_length_c 10.053
_cell_angle_alpha 90.00
_cell_angle_beta 90.00
_cell_angle_gamma 90.00
_symmetry_space_group_name_H-M 'P 4/m m m'
_symmetry_Int_Tables_number 123
_symmetry_space_group_name_Hall '-P 4 2'
loop_
_atom_site_label
_atom_site_type_symbol
_atom_site_fract_x
_atom_site_fract_y
_atom_site_fract_z
Cs1 Cs 0.000 0.000 0.000
Zr1 Zr 0.000 0.000 0.500
Bi1 Bi 0.500 0.500 0.303
```

---

Material: CsZr3Bi
Method: DFT, PBE
State: relaxed

Calculated values
For the formation energy, the calculation gives 114 kJ/mol of atoms. As for the volume: 180.5 Å³ per cell. The calculation puts the size of the total moment at 0.00 μB/f.u.

Geometry as CIF:
```
data_CsZr3Bi
_chemical_formula_sum 'Cs1 Zr3 Bi1'
_cell_length_a 5.651
_cell_length_b 5.651
_cell_length_c 5.651
_cell_angle_alpha 90.00
_cell_angle_beta 90.00
_cell_angle_gamma 90.00
_symmetry_space_group_name_H-M 'P m -3 m'
_symmetry_Int_Tables_number 221
_symmetry_space_group_name_Hall '-P 4 2 3'
loop_
_atom_site_label
_atom_site_type_symbol
_atom_site_fract_x
_atom_site_fract_y
_atom_site_fract_z
Cs1 Cs 0.000 0.000 0.000
Zr1 Zr 0.000 0.500 0.500
Bi1 Bi 0.500 0.500 0.500
```

---

Material: CsZrBi2
Method: DFT, PBE
State: relaxed

Calculated values
For the formation energy, the calculation gives 26 kJ/mol of atoms. As for the volume: 520.7 Å³ per cell. The value obtained for the distance to the lowest polymorph of the same formula is 2.15 eV per formula unit. The calculation puts the size of the total moment at 0.00 μB/f.u.

Geometry as CIF:
```
data_CsZrBi2
_chemical_formula_sum 'Cs4 Zr4 Bi8'
_cell_length_a 8.045
_cell_length_b 8.045
_cell_length_c 8.045
_cell_angle_alpha 90.00
_cell_angle_beta 90.00
_cell_angle_gamma 90.00
_symmetry_space_group_name_H-M 'F m -3 m'
_symmetry_Int_Tables_number 225
_symmetry_space_group_name_Hall '-F 4 2 3'
loop_
_atom_site_label
_atom_site_type_symbol
_atom_site_fract_x
_atom_site_fract_y
_atom_site_fract_z
Cs1 Cs 0.000 0.000 0.000
Zr1 Zr 0.000 0.000 0.500
Bi1 Bi 0.250 0.250 0.250
```

---

Material: CuBi
Method: DFT, PBE
State: relaxed

Calculated values
For the formation energy, the calculation gives 45 kJ/mol of atoms. As for the volume: 222.7 Å³ per cell. The calculation puts the size of the total moment at 0.00 μB/f.u.

Geometry as CIF:
```
data_CuBi
_chemical_formula_sum 'Cu4 Bi4'
_cell_length_a 6.061
_cell_length_b 6.061
_cell_length_c 6.061
_cell_angle_alpha 90.00
_cell_angle_beta 90.00
_cell_angle_gamma 90.00
_symmetry_space_group_name_H-M 'F -4 3 m'
_symmetry_Int_Tables_number 216
_symmetry_space_group_name_Hall 'F -4 2 3'
loop_
_atom_site_label
_atom_site_type_symbol
_atom_site_fract_x
_atom_site_fract_y
_atom_site_fract_z
Cu1 Cu 0.000 0.000 0.000
Bi1 Bi 0.250 0.250 0.750
```

---

Material: CuBi
Method: DFT, PBE
State: relaxed

Calculated values
For the formation energy, the calculation gives 18 kJ/mol of atoms. As for the volume: 360.5 Å³ per cell. The calculation puts the size of the total moment at 0.00 μB/f.u.

Geometry as CIF:
```
data_CuBi
_chemical_formula_sum 'Cu8 Bi8'
_cell_length_a 5.854
_cell_length_b 7.342
_cell_length_c 8.388
_cell_angle_alpha 90.00
_cell_angle_beta 90.00
_cell_angle_gamma 90.00
_symmetry_space_group_name_H-M 'P 21 21 21'
_symmetry_Int_Tables_number 19
loop_
_symmetry_equiv_pos_as_xyz
'x,y,z'
'-x+1/2,-y,z+1/2'
'x+1/2,-y+1/2,-z'
'-x,y+1/2,-z+1/2'
loop_
_atom_site_label
_atom_site_type_symbol
_atom_site_fract_x
_atom_site_fract_y
_atom_site_fract_z
Cu1 Cu 0.069 0.172 0.116
Cu2 Cu 0.206 0.949 0.362
Bi1 Bi 0.032 0.308 0.419
Bi2 Bi 0.049 0.387 0.847
```

---

Material: CuBi3
Method: DFT, PBE
State: relaxed

Calculated values
For the formation energy, the calculation gives 15 kJ/mol of atoms. As for the volume: 224.1 Å³ per cell. The value obtained for the distance to the lowest polymorph of the same formula is 0.00 eV per formula unit. The calculation puts the size of the total moment at 0.00 μB/f.u.

Geometry as CIF:
```
data_CuBi3
_chemical_formula_sum 'Cu2 Bi6'
_cell_length_a 3.405
_cell_length_b 12.571
_cell_length_c 5.235
_cell_angle_alpha 90.00
_cell_angle_beta 90.00
_cell_angle_gamma 90.00
_symmetry_space_group_name_H-M 'I m m 2'
_symmetry_Int_Tables_number 44
loop_
_symmetry_equiv_pos_as_xyz
'x,y,z'
'-x,-y,z'
'-x,y,z'
'x,-y,z'
'x+1/2,y+1/2,z+1/2'
'-x+1/2,-y+1/2,z+1/2'
'-x+1/2,y+1/2,z+1/2'
'x+1/2,-y+1/2,z+1/2'
loop_
_atom_site_label
_atom_site_type_symbol
_atom_site_fract_x
_atom_site_fract_y
_atom_site_fract_z
Cu1 Cu 0.000 0.000 0.000
Bi1 Bi 0.000 0.323 0.585
Bi2 Bi 0.000 0.500 0.041
```

---

Material: CuBi
Method: DFT, PBE
State: relaxed

Calculated values
For the formation energy, the calculation gives 10 kJ/mol of atoms. As for the volume: 87.9 Å³ per cell. The calculation puts the size of the total moment at 0.00 μB/f.u.

Geometry as CIF:
```
data_CuBi
_chemical_formula_sum 'Cu2 Bi2'
_cell_length_a 4.4221
_cell_length_b 4.4221
_cell_length_c 5.1911
_cell_angle_alpha 90.00
_cell_angle_beta 90.00
_cell_angle_gamma 120.00
_symmetry_space_group_name_H-M 'P 63/m m c'
_symmetry_Int_Tables_number 194
_symmetry_space_group_name_Hall '-P 6c 2c'
loop_
_atom_site_label
_atom_site_type_symbol
_atom_site_fract_x
_atom_site_fract_y
_atom_site_fract_z
Cu1 Cu 0.0000 0.0000 0.0000
Bi1 Bi 0.3333 0.6667 0.2500
```

---

Material: CuBi3
Method: DFT, PBE
State: relaxed

Calculated values
For the formation energy, the calculation gives 17 kJ/mol of atoms. As for the volume: 111.8 Å³ per cell. The value obtained for the distance to the lowest polymorph of the same formula is 0.08 eV per formula unit. The calculation puts the size of the total moment at 0.00 μB/f.u.

Geometry as CIF:
```
data_CuBi3
_chemical_formula_sum 'Cu1 Bi3'
_cell_length_a 3.347
_cell_length_b 3.462
_cell_length_c 9.650
_cell_angle_alpha 90.00
_cell_angle_beta 90.00
_cell_angle_gamma 90.00
_symmetry_space_group_name_H-M 'P m m 2'
_symmetry_Int_Tables_number 25
loop_
_symmetry_equiv_pos_as_xyz
'x,y,z'
'-x,-y,z'
'-x,y,z'
'x,-y,z'
loop_
_atom_site_label
_atom_site_type_symbol
_atom_site_fract_x
_atom_site_fract_y
_atom_site_fract_z
Cu1 Cu 0.000 0.000 0.000
Bi1 Bi 0.000 0.500 0.226
Bi2 Bi 0.500 0.000 0.529
Bi3 Bi 0.500 0.500 0.833
```

---

Material: CuBi
Method: DFT, PBE
State: relaxed

Calculated values
For the formation energy, the calculation gives 50 kJ/mol of atoms. As for the volume: 413.9 Å³ per cell. The calculation puts the size of the total moment at 0.00 μB/f.u.

Geometry as CIF:
```
data_CuBi
_chemical_formula_sum 'Cu6 Bi6'
_cell_length_a 7.452
_cell_length_b 7.452
_cell_length_c 7.452
_cell_angle_alpha 90.00
_cell_angle_beta 90.00
_cell_angle_gamma 90.00
_symmetry_space_group_name_H-M 'P m -3 n'
_symmetry_Int_Tables_number 223
_symmetry_space_group_name_Hall '-P 4n 2 3'
loop_
_atom_site_label
_atom_site_type_symbol
_atom_site_fract_x
_atom_site_fract_y
_atom_site_fract_z
Cu1 Cu 0.000 0.250 0.500
Bi1 Bi 0.000 0.500 0.250
```

---

Material: CuBi
Method: DFT, PBE
State: relaxed

Calculated values
For the formation energy, the calculation gives 30 kJ/mol of atoms. As for the volume: 105.3 Å³ per cell. The calculation puts the size of the total moment at 0.00 μB/f.u.

Geometry as CIF:
```
data_CuBi
_chemical_formula_sum 'Cu2 Bi2'
_cell_length_a 4.6549
_cell_length_b 4.6549
_cell_length_c 5.6103
_cell_angle_alpha 90.00
_cell_angle_beta 90.00
_cell_angle_gamma 120.00
_symmetry_space_group_name_H-M 'P 63/m m c'
_symmetry_Int_Tables_number 194
_symmetry_space_group_name_Hall '-P 6c 2c'
loop_
_atom_site_label
_atom_site_type_symbol
_atom_site_fract_x
_atom_site_fract_y
_atom_site_fract_z
Cu1 Cu 0.3333 0.6667 0.2500
Bi1 Bi 0.3333 0.6667 0.7500
```